No. 1
The following is a PBE calculation of a relaxed structure of KP2Au, from Alexandria via LeMat-Bulk.

Values from the calculation:
The calculation puts the formation energy at 0.01 eV per atom.

Cell lengths 6.329, 6.329, 6.329 Å; angles 41.31, 41.31, 41.31 degrees
Element x y z (fractional)
1 Au 0.250 0.250 0.250
2 K 0.750 0.750 0.750
3 P 0.941 0.941 0.941
4 P 0.559 0.559 0.559


No. 2
The following is a PBE calculation of a relaxed structure of YTa2Cu, from Alexandria via LeMat-Bulk.

Values from the calculation:
The calculation puts the formation energy at 0.20 eV per atom.

Cell lengths 5.903, 5.903, 5.903 Å; angles 148.33, 133.60, 57.27 degrees
Element x y z (fractional)
1 Cu 0.750 0.250 0.500
2 Ta 0.975 0.975 0.000
3 Ta 0.525 0.525 0.000
4 Y 0.250 0.750 0.500


No. 3
The following is a PBE calculation of a relaxed structure of Tb8Hg4SeS3, from Alexandria via LeMat-Bulk.

Values from the calculation:
As for the uncorrected formation energy: -18.97 eV/f.u.

Cell lengths 7.853, 8.821, 7.852 Å; angles 116.46, 120.00, 90.00 degrees
Element x y z (fractional)
1 Tb 0.243 0.718 0.975
2 Tb 0.243 0.718 0.486
3 Tb 0.262 0.287 0.525
4 Tb 0.732 0.718 0.975
5 Tb 0.268 0.282 0.025
6 Tb 0.738 0.713 0.475
7 Tb 0.757 0.282 0.514
8 Tb 0.757 0.282 0.025
9 Hg 0.500 0.000 0.000
10 Hg 0.500 0.000 0.500
11 Hg 0.000 0.000 0.000
12 Hg 0.000 0.000 0.500
13 Se 0.000 0.500 0.000
14 S 0.500 0.500 0.000
15 S 0.500 0.500 0.500
16 S 0.000 0.500 0.500


No. 4
The following is a PBE calculation of a relaxed structure of Pm5Pt2N, from Alexandria via LeMat-Bulk.

Values from the calculation:
As for the uncorrected formation energy: -6.55 eV/f.u.

Cell lengths 5.053, 6.253, 14.326 Å; angles 90.00, 90.00, 113.83 degrees
Element x y z (fractional)
1 Pm 0.893 0.785 0.882
2 Pm 0.893 0.785 0.618
3 Pm 0.393 0.786 0.382
4 Pm 0.393 0.786 0.118
5 Pm 0.750 0.500 0.250
6 Pm 0.250 0.500 0.750
7 Pm 0.607 0.214 0.618
8 Pm 0.607 0.214 0.882
9 Pm 0.107 0.215 0.118
10 Pm 0.107 0.215 0.382
11 Pt 0.750 0.500 0.446
12 Pt 0.750 0.500 0.054
13 Pt 0.250 0.500 0.554
14 Pt 0.250 0.500 0.946
15 N 0.750 0.500 0.750
16 N 0.250 0.500 0.250


No. 5
The following is a PBE calculation of a relaxed structure of CoTcOs4, from Alexandria via LeMat-Bulk.

Values from the calculation:
The calculation puts the formation energy at 0.19 eV per atom.

Cell lengths 6.378, 6.531, 5.289 Å; angles 128.13, 102.35, 90.00 degrees
Element x y z (fractional)
1 Co 0.336 0.148 0.296
2 Co 0.664 0.852 0.704
3 Tc 0.327 0.579 0.158
4 Tc 0.673 0.421 0.842
5 Os 0.030 0.286 0.571
6 Os 0.659 0.928 0.273
7 Os 0.000 0.798 0.000
8 Os 0.341 0.655 0.727
9 Os 0.970 0.714 0.429
10 Os 0.341 0.072 0.727
11 Os 0.000 0.202 0.000
12 Os 0.659 0.345 0.273


No. 6
The following is a PBE calculation of a relaxed structure of TcNiBr3, from Alexandria via LeMat-Bulk.

Values from the calculation:
As for the uncorrected formation energy: 3.54 eV/f.u.

Cell lengths 5.161, 5.161, 5.161 Å; angles 90.00, 90.00, 90.00 degrees
Last column: magnetic moment on the atom in μB.
Element x y z (fractional)
1 Ni 0.500 0.500 0.500  0.92
2 Tc 0.000 0.000 0.000  2.40
3 Br 0.000 0.500 0.000  0.05
4 Br 0.000 0.000 0.500  0.06
5 Br 0.500 0.000 0.000  0.10


No. 7
The following is a PBE calculation of a relaxed structure of LaSmTm4, from Alexandria via LeMat-Bulk.

Values from the calculation:
The calculation puts the formation energy at 0.14 eV per atom.

Cell lengths 6.431, 9.091, 8.572 Å; angles 112.48, 99.55, 113.23 degrees
Element x y z (fractional)
1 La 0.332 0.582 0.165
2 La 0.668 0.418 0.835
3 Sm 0.246 0.996 0.992
4 Sm 0.754 0.004 0.008
5 Tm 0.038 0.157 0.726
6 Tm 0.742 0.712 0.611
7 Tm 0.188 0.569 0.726
8 Tm 0.368 0.898 0.611
9 Tm 0.632 0.102 0.389
10 Tm 0.812 0.431 0.274
11 Tm 0.258 0.288 0.389
12 Tm 0.962 0.843 0.274


No. 8
The following is a PBE calculation of a relaxed structure of Th6PtRh2C3, from Alexandria via LeMat-Bulk.

Values from the calculation:
The calculation puts the formation energy at -0.54 eV per atom.

Cell lengths 3.788, 8.182, 9.120 Å; angles 109.49, 101.99, 90.00 degrees
Element x y z (fractional)
1 Th 0.322 0.918 0.644
2 Th 0.653 0.614 0.307
3 Th 0.678 0.082 0.356
4 Th 0.000 0.273 0.001
5 Th 0.000 0.727 0.999
6 Th 0.347 0.386 0.693
7 Pt 0.500 0.000 0.000
8 Rh 0.817 0.630 0.634
9 Rh 0.183 0.370 0.366
10 C 0.500 0.500 0.000
11 C 0.833 0.152 0.666
12 C 0.167 0.848 0.334


Please write out number 5 again, unchanged.
The following is a PBE calculation of a relaxed structure of CoTcOs4, from Alexandria via LeMat-Bulk.

Values from the calculation:
The calculation puts the formation energy at 0.19 eV per atom.

Cell lengths 6.378, 6.531, 5.289 Å; angles 128.13, 102.35, 90.00 degrees
Element x y z (fractional)
1 Co 0.336 0.148 0.296
2 Co 0.664 0.852 0.704
3 Tc 0.327 0.579 0.158
4 Tc 0.673 0.421 0.842
5 Os 0.030 0.286 0.571
6 Os 0.659 0.928 0.273
7 Os 0.000 0.798 0.000
8 Os 0.341 0.655 0.727
9 Os 0.970 0.714 0.429
10 Os 0.341 0.072 0.727
11 Os 0.000 0.202 0.000
12 Os 0.659 0.345 0.273


Which formula does entry 8 have?
Th6PtRh2C3